# GGA-PBE RbAgBr4, optimized geometry
data_RbAgBr4
_space_group_name_H-M_alt 'C m m m'
_space_group_IT_number 65
_space_group_name_Hall '-C 2 2'
_cell_length_a 10.1628
_cell_length_b 10.6076
_cell_length_c 4.3693
_cell_angle_alpha 90.00
_cell_angle_beta 90.00
_cell_angle_gamma 90.00
loop_
_atom_site_label
_atom_site_type_symbol
_atom_site_fract_x
_atom_site_fract_y
_atom_site_fract_z
Rb1 Rb 0.0000 0.0000 0.0000
Ag1 Ag 0.0000 0.5000 0.5000
Br1 Br 0.0000 0.3298 0.0000
Br2 Br 0.2471 0.5000 0.5000
# Mass density = 3617 kg/m3
# Energy = -2.252 eV per atom
# Total magnetization = 0.6 μB/f.u.
# Energy relative to the elements, uncorrected = -3.000 eV per formula unit